No. 1
Density functional theory data (PBE) for a relaxed DyTeAs crystal.

As for the uncorrected formation energy: -1182 meV/atom. The calculation puts the spin magnetization at 0.0 μB/f.u. Its crystal system is orthorhombic.

Structure (extended XYZ):
```
12
Lattice="-2.7407 2.7208 1.2829 -5.1142 -2.9412 -4.6880 -2.9132 -6.2955 7.1277" Properties=species:S:1:pos:R:3 pbc="T T T"
As -5.6833 -2.5387 2.9238
As -1.3019 0.1426 0.1434
As -9.4663 -6.6585 3.5792
As -5.0849 -3.9772 0.7988
Te -3.0115 -3.6510 4.5362
Te -4.6045 -0.1085 0.0746
Te -6.1637 -6.4074 3.6480
Te -7.7566 -2.8650 -0.8136
Dy -4.8891 -2.4703 -1.9785
Dy -5.8791 -4.0456 5.7011
Dy -2.8643 -2.1502 1.6680
Dy -7.9039 -4.3657 2.0546
```



No. 2
Density functional theory data (PBE) for a relaxed NaTl2Pd2 crystal.

The value obtained for the energy above the most stable polymorph in this dataset is 36.1 meV/atom. The calculation puts the spin magnetization at 0.0 μB/f.u. Its formation energy from the elements is -0.8 eV/f.u. Its crystal system is tetragonal.

Structure (extended XYZ):
```
10
Lattice="-6.3337 -2.0128 -4.7953 5.1243 -3.7052 -5.2129 -0.3429 -2.7147 1.5924" Properties=species:S:1:pos:R:3 pbc="T T T"
Na 0.0000 0.0000 0.0000
Na -0.6047 -2.8590 -5.0041
Tl 2.1301 -3.8955 -6.1820
Tl -2.1360 -4.1070 -7.4614
Tl -3.3395 -1.8226 -3.8262
Tl 0.9266 -1.6110 -2.5469
Pd 2.2021 -4.1015 -3.3707
Pd -0.0005 -5.8051 -6.7493
Pd -3.7544 -4.3312 -5.0451
Pd -1.5518 -2.6276 -1.6666
```



No. 3
Density functional theory data (PBE) for a relaxed Sr2LaAl crystal.

The calculation puts the spin magnetization at 0.0 μB/f.u. Its formation energy from the elements is 0.0 eV/f.u. Its crystal system is orthorhombic.

Structure (extended XYZ):
```
4
Lattice="7.4478 0.0074 -0.0067 6.3948 3.8179 -0.0067 2.4146 0.6673 5.4420" Properties=species:S:1:pos:R:3 pbc="T T T"
Sr 2.4283 0.6710 5.4368
Sr 12.7363 3.5195 3.8117
Al 8.2166 2.2705 2.6715
La 3.4193 0.9449 1.6649
```